[1]
DFT (PBE-GGA) results for crystalline Tb8Sm3Th4 at its relaxed geometry.

abc: 9.296 9.296 6.757
angles: 111.08 111.08 88.27
Element x y z (fractional)
Tb: 0.145 0.855 0.000
Tb: 0.238 0.238 0.004
Tb: 0.242 0.242 0.488
Tb: 0.245 0.755 0.500
Tb: 0.755 0.245 0.500
Tb: 0.758 0.758 0.512
Tb: 0.762 0.762 0.996
Tb: 0.855 0.145 0.000
Sm: 0.000 0.000 0.500
Sm: 0.000 0.500 0.500
Sm: 0.500 0.000 0.500
Th: 0.000 0.500 0.000
Th: 0.500 0.000 0.000
Th: 0.500 0.500 0.000
Th: 0.500 0.500 0.500

Calculated values
Formation enthalpy at 0 K, kJ/mol of formula units: 607
Crystal system: monoclinic
Symmetry: No. 12

[2]
DFT (PBE-GGA) results for crystalline Be2AlB at its relaxed geometry.

abc: 3.276 3.276 4.431
angles: 90.00 90.00 120.00
Element x y z (fractional)
Be: 0.333 0.667 0.393
Be: 0.667 0.333 0.607
Al: 0.000 0.000 0.000
B: 0.000 0.000 0.500

Calculated values
Formation enthalpy at 0 K, kJ/mol of formula units: 9
Crystal system: trigonal
Energy above the most stable polymorph in this dataset, eV per formula unit: 0.003
Symmetry: No. 164

[3]
DFT (PBE-GGA) results for crystalline CaPPb2 at its relaxed geometry.

abc: 5.344 5.344 5.344
angles: 60.00 60.00 60.00
Element x y z (fractional)
Ca: 0.000 0.000 0.000
P: 0.250 0.250 0.250
Pb: 0.500 0.500 0.500
Pb: 0.750 0.750 0.750

Calculated values
Formation enthalpy at 0 K, kJ/mol of formula units: -33
Crystal system: cubic
Symmetry: No. 216

[4]
DFT (PBE-GGA) results for crystalline ErLuThIn at its relaxed geometry.

abc: 5.425 5.425 5.425
angles: 60.00 60.00 60.00
Element x y z (fractional)
Er: 0.000 0.000 0.000
Lu: 0.500 0.500 0.500
Th: 0.750 0.750 0.750
In: 0.250 0.250 0.250

Calculated values
Formation enthalpy at 0 K, kJ/mol of formula units: -1
Crystal system: cubic
Symmetry: No. 216

[5]
DFT (PBE-GGA) results for crystalline Nd2GaCu5 at its relaxed geometry.

abc: 6.033 6.033 6.033
angles: 119.86 119.86 90.25
Element x y z (fractional)
Nd: 0.000 0.500 0.500
Nd: 0.500 0.000 0.500
Ga: 0.238 0.238 0.000
Cu: 0.540 0.540 0.000
Cu: 0.545 0.545 0.588
Cu: 0.545 0.956 0.000
Cu: 0.956 0.545 0.000
Cu: 0.956 0.956 0.412

Calculated values
Formation enthalpy at 0 K, kJ/mol of formula units: -54
Crystal system: tetragonal
Energy above the most stable polymorph in this dataset, eV per formula unit: 1.344
Symmetry: No. 107

[6]
DFT (PBE-GGA) results for crystalline Zn4IrN4 at its relaxed geometry.

abc: 5.552 5.788 7.982
angles: 78.40 78.30 67.03
Element x y z (fractional)
Zn: 0.130 0.182 0.400
Zn: 0.237 0.260 0.997
Zn: 0.314 0.883 0.744
Zn: 0.346 0.415 0.634
Zn: 0.654 0.585 0.366
Zn: 0.686 0.117 0.256
Zn: 0.763 0.740 0.003
Zn: 0.870 0.818 0.600
Ir: 0.251 0.672 0.189
Ir: 0.749 0.328 0.811
N: 0.003 0.492 0.191
N: 0.019 0.906 0.346
N: 0.346 0.869 0.991
N: 0.391 0.361 0.386
N: 0.609 0.639 0.614
N: 0.654 0.131 0.009
N: 0.981 0.094 0.654
N: 0.997 0.508 0.809

Calculated values
Formation energy (no corrections), kJ/mol of atoms: 41
Crystal system: triclinic
Symmetry: No. 2

[7]
DFT (PBE-GGA) results for crystalline CaLa9Y2 at its relaxed geometry.

abc: 5.254 5.254 15.782
angles: 90.00 90.00 90.00
Element x y z (fractional)
Ca: 0.000 0.000 0.000
La: 0.000 0.500 0.172
La: 0.000 0.500 0.500
La: 0.000 0.500 0.828
La: 0.500 0.000 0.172
La: 0.500 0.000 0.500
La: 0.500 0.000 0.828
La: 0.500 0.500 0.000
La: 0.500 0.500 0.335
La: 0.500 0.500 0.665
Y: 0.000 0.000 0.334
Y: 0.000 0.000 0.666

Calculated values
Formation enthalpy at 0 K, kJ/mol of formula units: 26
Crystal system: tetragonal
Symmetry: No. 123

[8]
DFT (PBE-GGA) results for crystalline PaCd2Pd4 at its relaxed geometry.

abc: 7.088 6.344 5.100
angles: 75.68 60.13 44.20
Element x y z (fractional)
Pa: 0.000 0.000 0.000
Cd: 0.290 0.290 0.710
Cd: 0.710 0.710 0.290
Pd: 0.123 0.123 0.377
Pd: 0.377 0.377 0.123
Pd: 0.623 0.623 0.877
Pd: 0.877 0.877 0.623

Calculated values
Formation enthalpy at 0 K, kJ/mol of formula units: -249
Crystal system: orthorhombic
Symmetry: No. 69

| no. | theoretical density (g cm⁻³) |
| --- | --- |
| 1 | 8.72 |
| 2 | 2.25 |
| 3 | 7.47 |
| 4 | 10.14 |
| 5 | 7.21 |
| 6 | 7.39 |
| 7 | 5.60 |
| 8 | 10.74 |